The following is a DFT calculation (PBE-GGA) of an optimized crystal structure of Li3MoC.

```
5
Lattice="5.1873 0.0000 0.0000 0.0000 5.1873 0.0000 0.0000 0.0000 5.1873" Properties=species:S:1:pos:R:3 pbc="T T T"
Mo 0.0000 0.0000 0.0000
C 2.5937 2.5937 2.5937
Li 0.0000 2.5937 0.0000
Li 0.0000 0.0000 2.5937
Li 2.5937 0.0000 0.0000
```

Energy of formation: 2.46 eV/atom
Total moment: 7.00 μB per formula unit
Calculated volume: 140 Å³ per cell
ΔE to the lowest computed polymorph: 1.339 eV/atom